[1]
A relaxed structure of Ce4PuSi2, computed with PBE-GGA.

```
Ce4PuSi2
1.0
7.880 0.000 0.000
0.000 9.473 0.000
0.000 0.000 4.607
Ce Pu Si
8 2 4
direct
0.205 0.000 0.000
0.250 0.250 0.500
0.250 0.750 0.500
0.295 0.500 0.000
0.705 0.500 0.000
0.750 0.250 0.500
0.750 0.750 0.500
0.795 0.000 0.000
0.000 0.500 0.500
0.500 0.000 0.500
0.000 0.285 0.000
0.000 0.715 0.000
0.500 0.215 0.000
0.500 0.785 0.000
```

offset from the most stable computed form: 0.000 eV per atom
electronic total energy: -0.53934 Ry per atom
symmetry: Cmmm
formation energy from raw total energies: -0.350 eV per atom
calculated density: 8.31 g cm⁻³

=====

[2]
A relaxed structure of CePu2Si, computed with PBE-GGA.

```
CePu2Si
1.0
4.497 0.000 0.000
0.000 4.497 0.000
0.000 0.000 4.502
Ce Pu Si
1 2 1
direct
0.000 0.000 0.000
0.000 0.500 0.500
0.500 0.000 0.500
0.500 0.500 0.000
```

offset from the most stable computed form: 0.000 eV per atom
electronic total energy: -0.75634 Ry per atom
symmetry: P4/mmm
formation energy from raw total energies: -0.285 eV per atom
calculated density: 11.97 g cm⁻³

=====

[3]
A relaxed structure of CePu3Si2, computed with PBE-GGA.

```
CePu3Si2
1.0
3.853 0.000 0.000
0.000 8.523 0.000
0.000 0.000 8.064
Ce Pu Si
2 6 4
direct
0.000 0.123 0.000
0.000 0.877 0.500
0.000 0.296 0.554
0.000 0.704 0.054
0.500 0.206 0.377
0.500 0.380 0.931
0.500 0.620 0.431
0.500 0.794 0.877
0.000 0.418 0.227
0.000 0.582 0.727
0.500 0.090 0.707
0.500 0.910 0.207
```

electronic total energy: -0.75726 Ry per atom
symmetry: Pmc2_1
formation energy from raw total energies: -0.340 eV per atom
calculated density: 11.64 g cm⁻³

=====

[4]
A relaxed structure of Ce3PuSi2, computed with PBE-GGA.

```
Ce3PuSi2
1.0
3.884 2.242 5.783
-3.884 2.242 5.783
0.000 -4.485 5.783
Ce Pu Si
6 2 4
direct
0.101 0.750 0.399
0.250 0.601 0.899
0.399 0.101 0.750
0.601 0.899 0.250
0.750 0.399 0.101
0.899 0.250 0.601
0.000 0.000 0.000
0.500 0.500 0.500
0.178 0.178 0.178
0.322 0.322 0.322
0.678 0.678 0.678
0.822 0.822 0.822
```

offset from the most stable computed form: 0.086 eV per atom
electronic total energy: -0.54331 Ry per atom
symmetry: R-3c
formation energy from raw total energies: -0.229 eV per atom
calculated density: 7.92 g cm⁻³

=====

[5]
A relaxed structure of Ce3PuSi2, computed with PBE-GGA.

```
Ce3PuSi2
1.0
3.563 -4.133 0.000
3.563 4.133 0.000
-2.514 0.000 9.161
Ce Pu Si
6 2 4
direct
0.038 0.962 0.750
0.165 0.332 0.593
0.332 0.165 0.093
0.668 0.835 0.907
0.835 0.668 0.407
0.962 0.038 0.250
0.371 0.629 0.250
0.629 0.371 0.750
0.153 0.569 0.923
0.431 0.847 0.577
0.569 0.153 0.423
0.847 0.431 0.077
```

offset from the most stable computed form: 0.000 eV per atom
electronic total energy: -0.54967 Ry per atom
symmetry: C2/c
formation energy from raw total energies: -0.315 eV per atom
calculated density: 8.87 g cm⁻³

=====

[6]
A relaxed structure of Ce3PuSi, computed with PBE-GGA.

```
Ce3PuSi
1.0
7.776 0.000 0.000
0.000 2.841 0.000
0.000 0.000 10.379
Ce Pu Si
6 2 2
direct
0.000 0.000 0.000
0.015 0.000 0.341
0.485 0.000 0.341
0.500 0.000 0.000
0.515 0.000 0.659
0.985 0.000 0.659
0.250 0.000 0.180
0.750 0.000 0.820
0.250 0.500 0.817
0.750 0.500 0.183
```

electronic total energy: -0.54125 Ry per atom
symmetry: Pmma
formation energy from raw total energies: 0.147 eV per atom
calculated density: 10.03 g cm⁻³

=====

[7]
A relaxed structure of CePuSi, computed with PBE-GGA.

```
CePuSi
1.0
4.872 0.000 0.000
-2.436 4.219 0.000
0.000 0.000 3.050
Ce Pu Si
1 1 1
direct
0.000 0.000 0.000
0.333 0.667 0.000
0.667 0.333 0.500
```

offset from the most stable computed form: 0.064 eV per atom
electronic total energy: -0.64454 Ry per atom
symmetry: P-6m2
formation energy from raw total energies: -0.207 eV per atom
calculated density: 10.92 g cm⁻³

=====

[8]
A relaxed structure of CePuSi, computed with PBE-GGA.

```
CePuSi
1.0
3.777 0.000 0.000
0.000 3.777 0.000
0.000 0.000 21.585
Ce Pu Si
4 4 4
direct
0.000 0.000 0.081
0.000 0.000 0.919
0.500 0.500 0.419
0.500 0.500 0.581
0.000 0.000 0.207
0.000 0.000 0.793
0.500 0.500 0.293
0.500 0.500 0.707
0.000 0.000 0.350
0.000 0.000 0.650
0.500 0.500 0.150
0.500 0.500 0.850
```

offset from the most stable computed form: 0.000 eV per atom
electronic total energy: -0.64921 Ry per atom
symmetry: I4/mmm
formation energy from raw total energies: -0.270 eV per atom
calculated density: 8.89 g cm⁻³

=====

[9]
A relaxed structure of Ce8Pu3Si2, computed with PBE-GGA.

```
Ce8Pu3Si2
1.0
6.916 0.000 0.000
-2.000 6.644 0.000
-0.483 -3.287 7.064
Ce Pu Si
8 3 2
direct
0.043 0.256 0.473
0.150 0.790 0.028
0.361 0.219 0.867
0.438 0.683 0.685
0.562 0.317 0.315
0.639 0.781 0.133
0.850 0.210 0.972
0.957 0.744 0.527
0.273 0.006 0.421
0.500 0.000 0.000
0.727 0.994 0.579
0.258 0.550 0.269
0.742 0.450 0.731
```

electronic total energy: -0.58282 Ry per atom
symmetry: P-1
formation energy from raw total energies: -0.136 eV per atom
calculated density: 9.77 g cm⁻³

=====

[10]
A relaxed structure of CePu5Si3, computed with PBE-GGA.

```
CePu5Si3
1.0
8.696 0.000 0.000
-4.348 7.531 0.000
0.000 0.000 6.252
Ce Pu Si
2 10 6
direct
0.000 0.000 0.000
0.000 0.000 0.500
0.000 0.335 0.250
0.000 0.665 0.750
0.333 0.667 0.000
0.333 0.667 0.500
0.335 0.000 0.250
0.335 0.335 0.750
0.665 0.000 0.750
0.665 0.665 0.250
0.667 0.333 0.000
0.667 0.333 0.500
0.000 0.332 0.750
0.000 0.668 0.250
0.332 0.000 0.750
0.332 0.332 0.250
0.668 0.000 0.250
0.668 0.668 0.750
```

electronic total energy: -0.79164 Ry per atom
symmetry: P6_3/mcm
formation energy from raw total energies: -0.342 eV per atom
calculated density: 11.71 g cm⁻³

=====

[11]
A relaxed structure of Ce4PuSi3, computed with PBE-GGA.

```
Ce4PuSi3
1.0
4.510 0.000 0.000
0.000 4.510 0.000
0.000 0.000 17.479
Ce Pu Si
8 2 6
direct
0.000 0.500 0.132
0.000 0.500 0.368
0.000 0.500 0.632
0.000 0.500 0.868
0.500 0.000 0.132
0.500 0.000 0.368
0.500 0.000 0.632
0.500 0.000 0.868
0.000 0.000 0.000
0.500 0.500 0.500
0.000 0.000 0.249
0.000 0.000 0.500
0.000 0.000 0.751
0.500 0.500 0.000
0.500 0.500 0.251
0.500 0.500 0.749
```

electronic total energy: -0.52864 Ry per atom
symmetry: I4/mmm
formation energy from raw total energies: -0.401 eV per atom
calculated density: 8.30 g cm⁻³

=====

[12]
A relaxed structure of CePu2Si, computed with PBE-GGA.

```
CePu2Si
1.0
3.823 0.000 0.000
0.000 3.823 0.000
0.000 0.000 6.297
Ce Pu Si
1 2 1
direct
0.000 0.000 0.000
0.500 0.500 0.278
0.500 0.500 0.722
0.000 0.000 0.500
```

offset from the most stable computed form: 0.067 eV per atom
electronic total energy: -0.75143 Ry per atom
symmetry: P4/mmm
formation energy from raw total energies: -0.219 eV per atom
calculated density: 11.84 g cm⁻³

=====

[13]
A relaxed structure of Ce3Pu3Si4, computed with PBE-GGA.

```
Ce3Pu3Si4
1.0
4.173 0.000 0.000
0.000 5.299 5.324
0.000 -5.299 5.324
Ce Pu Si
3 3 4
direct
0.000 0.000 0.000
0.000 0.501 0.866
0.000 0.866 0.501
0.000 0.361 0.361
0.500 0.190 0.671
0.500 0.671 0.190
0.500 0.066 0.291
0.500 0.291 0.066
0.500 0.571 0.571
0.500 0.796 0.796
```

electronic total energy: -0.64276 Ry per atom
symmetry: Amm2
formation energy from raw total energies: -0.496 eV per atom
calculated density: 8.92 g cm⁻³

=====

[14]
A relaxed structure of CePu2Si, computed with PBE-GGA.

```
CePu2Si
1.0
7.067 0.000 0.000
0.000 7.067 0.000
0.000 0.000 7.067
Ce Pu Si
4 8 4
direct
0.000 0.000 0.000
0.000 0.500 0.500
0.500 0.000 0.500
0.500 0.500 0.000
0.250 0.250 0.250
0.250 0.250 0.750
0.250 0.750 0.250
0.250 0.750 0.750
0.750 0.250 0.250
0.750 0.250 0.750
0.750 0.750 0.250
0.750 0.750 0.750
0.000 0.000 0.500
0.000 0.500 0.000
0.500 0.000 0.000
0.500 0.500 0.500
```

offset from the most stable computed form: 0.150 eV per atom
electronic total energy: -0.74533 Ry per atom
symmetry: Fm-3m
formation energy from raw total energies: -0.136 eV per atom
calculated density: 12.35 g cm⁻³

=====

[15]
A relaxed structure of CePuSi2, computed with PBE-GGA.

```
CePuSi2
1.0
7.030 0.000 0.000
0.000 7.030 0.000
0.000 0.000 7.030
Ce Pu Si
4 4 8
direct
0.000 0.000 0.000
0.000 0.500 0.500
0.500 0.000 0.500
0.500 0.500 0.000
0.000 0.000 0.500
0.000 0.500 0.000
0.500 0.000 0.000
0.500 0.500 0.500
0.250 0.250 0.250
0.250 0.250 0.750
0.250 0.750 0.250
0.250 0.750 0.750
0.750 0.250 0.250
0.750 0.250 0.750
0.750 0.750 0.250
0.750 0.750 0.750
```

offset from the most stable computed form: 0.235 eV per atom
electronic total energy: -0.59620 Ry per atom
symmetry: Fm-3m
formation energy from raw total energies: -0.334 eV per atom
calculated density: 8.42 g cm⁻³

=====

[16]
A relaxed structure of CePuSi, computed with PBE-GGA.

```
CePuSi
1.0
4.819 0.000 0.000
0.000 3.236 0.000
-2.216 0.000 4.326
Ce Pu Si
1 1 1
direct
0.000 0.000 0.000
0.319 0.500 0.689
0.660 0.500 0.344
```

offset from the most stable computed form: 0.093 eV per atom
electronic total energy: -0.64240 Ry per atom
symmetry: Pm
formation energy from raw total energies: -0.177 eV per atom
calculated density: 10.15 g cm⁻³

=====

[17]
A relaxed structure of Ce8PuSi2, computed with PBE-GGA.

```
Ce8PuSi2
1.0
4.086 -6.675 0.000
4.086 6.675 0.000
-2.929 0.000 4.980
Ce Pu Si
8 1 2
direct
0.000 0.000 0.000
0.074 0.276 0.609
0.171 0.596 0.210
0.276 0.074 0.609
0.473 0.728 0.882
0.596 0.171 0.210
0.728 0.473 0.882
0.728 0.728 0.319
0.381 0.381 0.291
0.033 0.649 0.652
0.649 0.033 0.652
```

electronic total energy: -0.49803 Ry per atom
symmetry: Cm
formation energy from raw total energies: -0.172 eV per atom
calculated density: 8.69 g cm⁻³

=====

[18]
A relaxed structure of CePuSi4, computed with PBE-GGA.

```
CePuSi4
1.0
4.079 0.000 0.000
0.000 6.987 0.000
0.000 0.000 8.051
Ce Pu Si
2 2 8
direct
0.000 0.000 0.000
0.500 0.500 0.500
0.000 0.000 0.500
0.500 0.500 0.000
0.000 0.333 0.248
0.000 0.333 0.752
0.000 0.667 0.248
0.000 0.667 0.752
0.500 0.167 0.252
0.500 0.167 0.748
0.500 0.833 0.252
0.500 0.833 0.748
```

offset from the most stable computed form: 0.000 eV per atom
electronic total energy: -0.55541 Ry per atom
symmetry: Immm
formation energy from raw total energies: -0.564 eV per atom
calculated density: 7.19 g cm⁻³

=====

[19]
A relaxed structure of CePuSi3, computed with PBE-GGA.

```
CePuSi3
1.0
2.050 -12.448 0.000
2.050 12.448 0.000
0.000 0.000 4.007
Ce Pu Si
2 2 6
direct
0.205 0.795 0.750
0.795 0.205 0.250
0.069 0.931 0.250
0.931 0.069 0.750
0.331 0.669 0.750
0.383 0.617 0.250
0.477 0.523 0.250
0.523 0.477 0.750
0.617 0.383 0.750
0.669 0.331 0.250
```

offset from the most stable computed form: 0.051 eV per atom
electronic total energy: -0.57628 Ry per atom
symmetry: Cmcm
formation energy from raw total energies: -0.534 eV per atom
calculated density: 7.61 g cm⁻³

=====

[20]
A relaxed structure of Ce2PuSi4, computed with PBE-GGA.

```
Ce2PuSi4
1.0
3.960 0.000 0.000
0.000 4.227 0.000
0.000 0.000 17.897
Ce Pu Si
4 2 8
direct
0.000 0.000 0.184
0.000 0.000 0.816
0.500 0.500 0.316
0.500 0.500 0.684
0.000 0.500 0.500
0.500 0.000 0.000
0.000 0.000 0.361
0.000 0.000 0.639
0.000 0.500 0.065
0.000 0.500 0.935
0.500 0.000 0.435
0.500 0.000 0.565
0.500 0.500 0.139
0.500 0.500 0.861
```

electronic total energy: -0.54555 Ry per atom
symmetry: Immm
formation energy from raw total energies: -0.581 eV per atom
calculated density: 7.06 g cm⁻³

=====

[21]
A relaxed structure of CePuSi2, computed with PBE-GGA.

```
CePuSi2
1.0
3.196 0.000 0.000
0.000 3.196 0.000
0.000 0.000 8.157
Ce Pu Si
1 1 2
direct
0.000 0.000 0.000
0.000 0.000 0.500
0.500 0.500 0.255
0.500 0.500 0.745
```

offset from the most stable computed form: 0.146 eV per atom
electronic total energy: -0.60278 Ry per atom
symmetry: P4/mmm
formation energy from raw total energies: -0.423 eV per atom
calculated density: 8.77 g cm⁻³

=====

[22]
A relaxed structure of Ce5PuSi2, computed with PBE-GGA.

```
Ce5PuSi2
1.0
8.044 -2.944 0.000
8.044 2.944 0.000
-0.548 0.000 8.028
Ce Pu Si
10 2 4
direct
0.114 0.332 0.318
0.165 0.835 0.750
0.240 0.563 0.061
0.332 0.114 0.818
0.437 0.760 0.439
0.563 0.240 0.561
0.668 0.886 0.182
0.760 0.437 0.939
0.835 0.165 0.250
0.886 0.668 0.682
0.000 0.500 0.000
0.500 0.000 0.500
0.070 0.734 0.421
0.266 0.930 0.079
0.734 0.070 0.921
0.930 0.266 0.579
```

electronic total energy: -0.52344 Ry per atom
symmetry: C2/c
formation energy from raw total energies: -0.266 eV per atom
calculated density: 8.74 g cm⁻³

=====

[23]
A relaxed structure of Ce2PuZn2Si2, computed with PBE-GGA.

```
Ce2PuZn2Si2
1.0
2.140 1.235 8.917
-2.140 1.235 8.917
0.000 -2.471 8.917
Ce Pu Zn Si
2 1 2 2
direct
0.140 0.140 0.140
0.860 0.860 0.860
0.000 0.000 0.000
0.402 0.402 0.402
0.598 0.598 0.598
0.266 0.266 0.266
0.734 0.734 0.734
```

electronic total energy: -0.43883 Ry per atom
symmetry: R-3m
formation energy from raw total energies: -0.314 eV per atom
calculated density: 8.35 g cm⁻³

=====

[24]
A relaxed structure of CePu2Zn2Si2, computed with PBE-GGA.

```
CePu2Zn2Si2
1.0
2.008 1.159 9.132
-2.008 1.159 9.132
0.000 -2.318 9.132
Ce Pu Zn Si
1 2 2 2
direct
0.000 0.000 0.000
0.151 0.151 0.151
0.849 0.849 0.849
0.408 0.408 0.408
0.592 0.592 0.592
0.257 0.257 0.257
0.743 0.743 0.743
```

electronic total energy: -0.52203 Ry per atom
symmetry: R-3m
formation energy from raw total energies: -0.247 eV per atom
calculated density: 10.61 g cm⁻³